1.
A plane-wave DFT calculation with PBE was carried out for a geometry-optimized ThScNb4 structure.

Structure (extended XYZ):
```
6
Lattice="5.6777 0.0000 0.0000 2.8388 4.9170 0.0000 2.8388 1.6390 4.6358" Properties=species:S:1:pos:R:3 pbc="T T T"
Nb 5.6777 1.6350 2.8988
Nb 5.6777 3.2780 0.5753
Nb 7.1006 4.0995 2.8988
Nb 4.2548 4.0995 2.8988
Sc 0.0000 0.0000 0.0000
Th 2.8388 1.6390 1.1590
```

## Properties
DFT formation energy ... 7.6 kJ/mol of atoms
Crystal system ... cubic
Total moment ... 0.000 μB per cell

2.
A plane-wave DFT calculation with PBE was carried out for a geometry-optimized ThScTiNb structure.

Structure (extended XYZ):
```
4
Lattice="5.0065 0.0000 0.0000 2.5033 4.3358 0.0000 2.5033 1.4453 4.0878" Properties=species:S:1:pos:R:3 pbc="T T T"
Ti 0.0000 0.0000 0.0000
Th 2.5033 1.4453 1.0220
Sc 7.5098 4.3358 3.0659
Nb 5.0065 2.8905 2.0439
```

## Properties
DFT formation energy ... 18.2 kJ/mol of atoms
Crystal system ... cubic
Total moment ... 1.581 μB per cell